Here is a relaxed structure of ZrRu2Cl from Alexandria via LeMat-Bulk. Energies are from GGA-PBEsol.

Geometry as POSCAR:
```
ZrRu2Cl
1.0
2.926 0.000 0.000
0.000 4.486 0.000
0.000 0.000 4.589
Cl Ru Zr
1 2 1
direct
0.000 0.500 0.500
0.500 0.000 0.500
0.000 0.000 0.000
0.500 0.500 0.000
```

- excess energy over the best structure of this formula in the dataset (meV/atom) = 193
- total moment (Bohr magnetons per cell) = 0.0
- symmetry = Pmmm
- ΔE_f (raw) (eV/atom) = 0.1068
- total DFT energy (no corrections) (eV per cell) = -31.0

Here is a relaxed structure of SbSCl9 from Alexandria via LeMat-Bulk. Energies are from GGA-PBEsol.

Geometry as POSCAR:
```
SbSCl9
1.0
-3.222 -6.623 -1.791
4.203 -5.345 -3.349
3.585 -8.600 10.032
Cl Sb S
18 2 2
direct
0.194 0.194 0.955
0.295 0.737 0.618
0.982 0.982 0.180
0.705 0.263 0.382
0.032 0.435 0.192
0.774 0.774 0.606
0.435 0.032 0.192
0.806 0.806 0.045
0.018 0.018 0.820
0.308 0.308 0.575
0.737 0.295 0.618
0.692 0.692 0.425
0.307 0.693 0.000
0.226 0.226 0.394
0.263 0.705 0.382
0.968 0.565 0.808
0.565 0.968 0.808
0.693 0.307 0.000
0.500 0.500 0.500
0.000 0.000 0.000
0.161 0.161 0.279
0.839 0.839 0.721
```

- excess energy over the best structure of this formula in the dataset (meV/atom) = 0
- total moment (Bohr magnetons per cell) = 0.0
- symmetry = C2/m
- ΔE_f (raw) (eV/atom) = -0.4791
- total DFT energy (no corrections) (eV per cell) = -64.6

Here is a relaxed structure of SbSCl9 from Alexandria via LeMat-Bulk. Energies are from GGA-PBEsol.

Geometry as POSCAR:
```
SbSCl9
1.0
8.666 0.016 0.013
2.034 8.424 0.013
2.034 1.605 8.269
Cl Sb S
18 2 2
direct
0.713 0.030 0.030
0.970 0.970 0.287
0.348 0.348 0.057
0.348 0.057 0.348
0.682 0.364 0.682
0.287 0.970 0.970
0.364 0.682 0.682
0.030 0.713 0.030
0.318 0.636 0.318
0.030 0.030 0.713
0.318 0.318 0.636
0.636 0.318 0.318
0.682 0.682 0.364
0.652 0.652 0.943
0.057 0.348 0.348
0.943 0.652 0.652
0.970 0.287 0.970
0.652 0.943 0.652
0.500 0.500 0.500
0.000 0.000 0.000
0.701 0.701 0.701
0.299 0.299 0.299
```

- excess energy over the best structure of this formula in the dataset (meV/atom) = 16
- total moment (Bohr magnetons per cell) = 0.0
- symmetry = R-3m
- ΔE_f (raw) (eV/atom) = -0.4634
- total DFT energy (no corrections) (eV per cell) = -64.2

Here is a relaxed structure of ScSbSCl2 from Alexandria via LeMat-Bulk. Energies are from GGA-PBEsol.

Geometry as POSCAR:
```
ScSbSCl2
1.0
-0.474 2.694 -4.392
0.169 -4.431 -2.736
-5.186 -0.394 0.318
Sc Cl Sb S
1 2 1 1
direct
0.500 0.500 0.500
0.000 0.500 0.000
0.000 0.000 0.500
0.000 0.000 0.000
0.500 0.000 0.000
```

- total moment (Bohr magnetons per cell) = 1.5
- symmetry = P4/mmm
- ΔE_f (raw) (eV/atom) = -0.1033
- total DFT energy (no corrections) (eV per cell) = -20.1